# PmFeBi2O6

A relaxed PmFeBi2O6 crystal (GGA+U, Alexandria via LeMat-Bulk).

* volume: 15.02 Å³ per atom
* mass density: 7.90 g/cm³
* electronic total energy: -6.5651 eV/atom

abc: 5.9035 5.9062 6.0244
angles: 90.05 119.30 119.92
Last column: nearest neighbours and their distance in Å.
Space group P1 (No. 1)
Inequivalent atoms, fractional coordinates:
1 Pm 0.0000 0.0000 0.0000 [1 per cell]  6 O 2.27-2.46
2 Fe 0.0185 0.5094 0.5268 [1 per cell]  6 O 2.04-2.15
3 Bi 0.4387 0.2200 0.6576 [1 per cell]  6 O 2.35-2.46
4 Bi 0.4406 0.7201 0.1616 [1 per cell]  6 O 2.30-2.57
5 O 0.1606 0.7876 0.3425 [1 per cell]  1 Fe 2.04
6 O 0.1873 0.8578 0.8221 [1 per cell]  1 Fe 2.15, 1 Pm 2.27, 1 Bi 2.30
7 O 0.4937 0.6353 0.8217 [1 per cell]  1 Fe 2.15, 1 Pm 2.27, 1 Bi 2.31
8 O 0.5557 0.3725 0.3432 [1 per cell]  1 Fe 2.04
9 O 0.9659 0.3301 0.8230 [1 per cell]  1 Fe 2.15, 1 Pm 2.27, 1 Bi 2.30
10 O 0.9718 0.1834 0.3435 [1 per cell]  1 Fe 2.04